Entry 1:
# Ba2Sr3Li2Hg4

Ba2Sr3Li2Hg4 after structural relaxation (PBE, the Alexandria database).

The structure in CIF format:
```
data_Ba2Sr3Li2Hg4
_chemical_formula_sum 'Ba2 Sr3 Li2 Hg4'
_space_group_name_H-M_alt 'P -3 m 1'
_space_group_IT_number 164
_space_group_name_Hall '-P 3 2"'
_cell_length_a 4.8476
_cell_length_b 4.8476
_cell_length_c 20.3163
_cell_angle_alpha 90.00
_cell_angle_beta 90.00
_cell_angle_gamma 120.00
loop_
_atom_site_label
_atom_site_type_symbol
_atom_site_fract_x
_atom_site_fract_y
_atom_site_fract_z
Ba1 Ba 0.3333 0.6667 0.0944
Sr1 Sr 0.0000 0.0000 0.2848
Sr2 Sr 0.0000 0.0000 0.5000
Li1 Li 0.3333 0.6667 0.6117
Hg1 Hg 0.3333 0.6667 0.3934
Hg2 Hg 0.3333 0.6667 0.8041
```

Output
V: 413.45 Å³ per cell
Total magnetic moment: 0.1 μB/f.u.
Energy relative to the elements: -0.347 eV per atom
D(E_F): 10.2 states/eV/cell

Entry 2:
# BaSr2LiHg

BaSr2LiHg after structural relaxation (PBE, the Alexandria database).

The structure in CIF format:
```
data_BaSr2LiHg
_chemical_formula_sum 'Ba1 Sr2 Li1 Hg1'
_space_group_name_H-M_alt 'P 4/m m m'
_space_group_IT_number 123
_space_group_name_Hall '-P 4 2'
_cell_length_a 6.4392
_cell_length_b 6.4392
_cell_length_c 5.3958
_cell_angle_alpha 90.00
_cell_angle_beta 90.00
_cell_angle_gamma 90.00
loop_
_atom_site_label
_atom_site_type_symbol
_atom_site_fract_x
_atom_site_fract_y
_atom_site_fract_z
Ba1 Ba 0.0000 0.0000 0.0000
Sr1 Sr 0.0000 0.5000 0.5000
Li1 Li 0.5000 0.5000 0.0000
Hg1 Hg 0.5000 0.5000 0.5000
```

Output
V: 223.73 Å³ per cell
Total magnetic moment: 0.0 μB/f.u.
Energy relative to the lowest polymorph listed for this composition: 0.000 eV per atom
Energy relative to the elements: -0.113 eV per atom
D(E_F): 4.4 states/eV/cell

Entry 3:
# Ba2SrLi2Hg2

Ba2SrLi2Hg2 after structural relaxation (PBE, the Alexandria database).

The structure in CIF format:
```
data_Ba2SrLi2Hg2
_chemical_formula_sum 'Ba6 Sr3 Li6 Hg6'
_space_group_name_H-M_alt 'R -3 m'
_space_group_IT_number 166
_space_group_name_Hall '-R 3 2"'
_cell_length_a 4.8996
_cell_length_b 4.8996
_cell_length_c 37.7759
_cell_angle_alpha 90.00
_cell_angle_beta 90.00
_cell_angle_gamma 120.00
loop_
_atom_site_label
_atom_site_type_symbol
_atom_site_fract_x
_atom_site_fract_y
_atom_site_fract_z
Ba1 Ba 0.0000 0.0000 0.1151
Sr1 Sr 0.0000 0.0000 0.0000
Li1 Li 0.0000 0.0000 0.3863
Hg1 Hg 0.0000 0.0000 0.2775
```

Output
V: 785.36 Å³ per cell
Total magnetic moment: 0.1 μB/f.u.
Energy relative to the elements: -0.293 eV per atom
D(E_F): 20.1 states/eV/cell

Entry 4:
# BaLiTbHg

BaLiTbHg after structural relaxation (PBE, the Alexandria database).

The structure in CIF format:
```
data_BaLiTbHg
_chemical_formula_sum 'Ba4 Li4 Tb4 Hg4'
_space_group_name_H-M_alt 'F -4 3 m'
_space_group_IT_number 216
_space_group_name_Hall 'F -4 2 3'
_cell_length_a 7.9425
_cell_length_b 7.9425
_cell_length_c 7.9425
_cell_angle_alpha 90.00
_cell_angle_beta 90.00
_cell_angle_gamma 90.00
loop_
_atom_site_label
_atom_site_type_symbol
_atom_site_fract_x
_atom_site_fract_y
_atom_site_fract_z
Ba1 Ba 0.0000 0.0000 0.0000
Li1 Li 0.2500 0.2500 0.7500
Tb1 Tb 0.0000 0.0000 0.5000
Hg1 Hg 0.2500 0.2500 0.2500
```

Output
V: 501.03 Å³ per cell
Total magnetic moment: 0.0 μB/f.u.
Energy relative to the elements: -0.091 eV per atom
D(E_F): 15.7 states/eV/cell

Entry 5:
# BaLiTb2Hg4

BaLiTb2Hg4 after structural relaxation (PBE, the Alexandria database).

The structure in CIF format:
```
data_BaLiTb2Hg4
_chemical_formula_sum 'Ba3 Li3 Tb6 Hg12'
_space_group_name_H-M_alt 'R -3 m'
_space_group_IT_number 166
_space_group_name_Hall '-R 3 2"'
_cell_length_a 5.1797
_cell_length_b 5.1797
_cell_length_c 29.3578
_cell_angle_alpha 90.00
_cell_angle_beta 90.00
_cell_angle_gamma 120.00
loop_
_atom_site_label
_atom_site_type_symbol
_atom_site_fract_x
_atom_site_fract_y
_atom_site_fract_z
Ba1 Ba 0.0000 0.0000 0.0000
Li1 Li 0.0000 0.0000 0.5000
Tb1 Tb 0.0000 0.0000 0.2324
Hg1 Hg 0.0000 0.0000 0.1271
Hg2 Hg 0.0000 0.0000 0.4025
```

Output
V: 682.12 Å³ per cell
Total magnetic moment: 0.0 μB/f.u.
Energy relative to the elements: -0.404 eV per atom
D(E_F): 15.9 states/eV/cell

Entry 6:
# BaLiHgTe2

BaLiHgTe2 after structural relaxation (PBE, the Alexandria database).

The structure in CIF format:
```
data_BaLiHgTe2
_chemical_formula_sum 'Ba1 Li1 Hg1 Te2'
_space_group_name_H-M_alt 'P 4/m m m'
_space_group_IT_number 123
_space_group_name_Hall '-P 4 2'
_cell_length_a 5.9756
_cell_length_b 5.9756
_cell_length_c 5.8984
_cell_angle_alpha 90.00
_cell_angle_beta 90.00
_cell_angle_gamma 90.00
loop_
_atom_site_label
_atom_site_type_symbol
_atom_site_fract_x
_atom_site_fract_y
_atom_site_fract_z
Ba1 Ba 0.0000 0.0000 0.0000
Li1 Li 0.5000 0.5000 0.0000
Hg1 Hg 0.0000 0.0000 0.5000
Te1 Te 0.0000 0.5000 0.5000
```

Output
Uncorrected formation energy: -114 meV/atom
V: 210.62 Å³ per cell
Total magnetic moment: 0.0 μB/f.u.
D(E_F): 3.1 states/eV/cell

Entry 7:
# BaLi2HgTe

BaLi2HgTe after structural relaxation (PBE, the Alexandria database).

The structure in CIF format:
```
data_BaLi2HgTe
_chemical_formula_sum 'Ba1 Li2 Hg1 Te1'
_space_group_name_H-M_alt 'P 4/m m m'
_space_group_IT_number 123
_space_group_name_Hall '-P 4 2'
_cell_length_a 6.1336
_cell_length_b 6.1336
_cell_length_c 6.1782
_cell_angle_alpha 90.00
_cell_angle_beta 90.00
_cell_angle_gamma 90.00
loop_
_atom_site_label
_atom_site_type_symbol
_atom_site_fract_x
_atom_site_fract_y
_atom_site_fract_z
Ba1 Ba 0.0000 0.0000 0.0000
Li1 Li 0.0000 0.5000 0.0000
Hg1 Hg 0.0000 0.0000 0.5000
Te1 Te 0.5000 0.5000 0.5000
```

Output
Uncorrected formation energy: 588 meV/atom
V: 232.43 Å³ per cell
Total magnetic moment: 0.0 μB/f.u.
D(E_F): 2.4 states/eV/cell

Entry 8:
# Ba2LiTl4Hg3

Ba2LiTl4Hg3 after structural relaxation (PBE, the Alexandria database).

The structure in CIF format:
```
data_Ba2LiTl4Hg3
_chemical_formula_sum 'Ba2 Li1 Tl4 Hg3'
_space_group_name_H-M_alt 'P -4 m 2'
_space_group_IT_number 115
_space_group_name_Hall 'P -4 -2'
_cell_length_a 5.0149
_cell_length_b 5.0149
_cell_length_c 12.5258
_cell_angle_alpha 90.00
_cell_angle_beta 90.00
_cell_angle_gamma 90.00
loop_
_atom_site_label
_atom_site_type_symbol
_atom_site_fract_x
_atom_site_fract_y
_atom_site_fract_z
Ba1 Ba 0.0000 0.5000 0.2483
Li1 Li 0.5000 0.5000 0.0000
Tl1 Tl 0.0000 0.0000 0.5000
Tl2 Tl 0.0000 0.5000 0.8793
Tl3 Tl 0.5000 0.5000 0.5000
Hg1 Hg 0.0000 0.0000 0.0000
Hg2 Hg 0.0000 0.5000 0.6439
```

Output
V: 315.02 Å³ per cell
Total magnetic moment: 0.0 μB/f.u.
Energy relative to the elements: -0.293 eV per atom
D(E_F): 4.7 states/eV/cell

Entry 9:
# Ba2Li3TlHg4

Ba2Li3TlHg4 after structural relaxation (PBE, the Alexandria database).

The structure in CIF format:
```
data_Ba2Li3TlHg4
_chemical_formula_sum 'Ba2 Li3 Tl1 Hg4'
_space_group_name_H-M_alt 'P -4 m 2'
_space_group_IT_number 115
_space_group_name_Hall 'P -4 -2'
_cell_length_a 4.9014
_cell_length_b 4.9014
_cell_length_c 11.7302
_cell_angle_alpha 90.00
_cell_angle_beta 90.00
_cell_angle_gamma 90.00
loop_
_atom_site_label
_atom_site_type_symbol
_atom_site_fract_x
_atom_site_fract_y
_atom_site_fract_z
Ba1 Ba 0.0000 0.5000 0.2407
Li1 Li 0.0000 0.5000 0.8945
Li2 Li 0.5000 0.5000 0.5000
Tl1 Tl 0.0000 0.0000 0.5000
Hg1 Hg 0.0000 0.0000 0.0000
Hg2 Hg 0.0000 0.5000 0.6585
Hg3 Hg 0.5000 0.5000 0.0000
```

Output
V: 281.80 Å³ per cell
Total magnetic moment: 0.0 μB/f.u.
Energy relative to the elements: -0.370 eV per atom
D(E_F): 6.3 states/eV/cell

Entry 10:
# Ba2LiTlHg6

Ba2LiTlHg6 after structural relaxation (PBE, the Alexandria database).

The structure in CIF format:
```
data_Ba2LiTlHg6
_chemical_formula_sum 'Ba2 Li1 Tl1 Hg6'
_space_group_name_H-M_alt 'P -1'
_space_group_IT_number 2
_space_group_name_Hall '-P 1'
_cell_length_a 6.1148
_cell_length_b 7.6551
_cell_length_c 7.7324
_cell_angle_alpha 79.96
_cell_angle_beta 71.40
_cell_angle_gamma 66.55
loop_
_atom_site_label
_atom_site_type_symbol
_atom_site_fract_x
_atom_site_fract_y
_atom_site_fract_z
Ba1 Ba 0.2332 0.2370 0.2951
Li1 Li 0.0000 0.0000 0.0000
Tl1 Tl 0.5000 0.5000 0.5000
Hg1 Hg 0.1819 0.8033 0.2789
Hg2 Hg 0.2639 0.6070 0.9200
Hg3 Hg 0.2768 0.2171 0.7944
```

Output
V: 314.26 Å³ per cell
Total magnetic moment: 0.0 μB/f.u.
Energy relative to the elements: -0.306 eV per atom
D(E_F): 7.1 states/eV/cell

Entry 11:
# Ba2LiTl6Hg

Ba2LiTl6Hg after structural relaxation (PBE, the Alexandria database).

The structure in CIF format:
```
data_Ba2LiTl6Hg
_chemical_formula_sum 'Ba2 Li1 Tl6 Hg1'
_space_group_name_H-M_alt 'P -1'
_space_group_IT_number 2
_space_group_name_Hall '-P 1'
_cell_length_a 6.3654
_cell_length_b 7.8373
_cell_length_c 7.9318
_cell_angle_alpha 74.39
_cell_angle_beta 66.38
_cell_angle_gamma 66.09
loop_
_atom_site_label
_atom_site_type_symbol
_atom_site_fract_x
_atom_site_fract_y
_atom_site_fract_z
Ba1 Ba 0.0004 0.2369 0.2626
Li1 Li 0.5000 0.5000 0.0000
Tl1 Tl 0.0093 0.6939 0.2853
Tl2 Tl 0.3331 0.9113 0.9230
Tl3 Tl 0.4891 0.3068 0.7140
Hg1 Hg 0.5000 0.0000 0.5000
```

Output
V: 328.75 Å³ per cell
Total magnetic moment: 0.0 μB/f.u.
Energy relative to the elements: -0.211 eV per atom
D(E_F): 5.9 states/eV/cell

Entry 12:
# BaLiTl2Hg

BaLiTl2Hg after structural relaxation (PBE, the Alexandria database).

The structure in CIF format:
```
data_BaLiTl2Hg
_chemical_formula_sum 'Ba1 Li1 Tl2 Hg1'
_space_group_name_H-M_alt 'P 4/m m m'
_space_group_IT_number 123
_space_group_name_Hall '-P 4 2'
_cell_length_a 5.3119
_cell_length_b 5.3119
_cell_length_c 5.2637
_cell_angle_alpha 90.00
_cell_angle_beta 90.00
_cell_angle_gamma 90.00
loop_
_atom_site_label
_atom_site_type_symbol
_atom_site_fract_x
_atom_site_fract_y
_atom_site_fract_z
Ba1 Ba 0.0000 0.0000 0.0000
Li1 Li 0.5000 0.5000 0.5000
Tl1 Tl 0.0000 0.5000 0.5000
Hg1 Hg 0.5000 0.5000 0.0000
```

Output
V: 148.52 Å³ per cell
Total magnetic moment: 0.0 μB/f.u.
Energy relative to the elements: -0.263 eV per atom
D(E_F): 3.4 states/eV/cell

Entry 13:
# BaLi4Tl2Hg

BaLi4Tl2Hg after structural relaxation (PBE, the Alexandria database).

The structure in CIF format:
```
data_BaLi4Tl2Hg
_chemical_formula_sum 'Ba3 Li12 Tl6 Hg3'
_space_group_name_H-M_alt 'R -3 m'
_space_group_IT_number 166
_space_group_name_Hall '-R 3 2"'
_cell_length_a 4.8022
_cell_length_b 4.8022
_cell_length_c 30.1125
_cell_angle_alpha 90.00
_cell_angle_beta 90.00
_cell_angle_gamma 120.00
loop_
_atom_site_label
_atom_site_type_symbol
_atom_site_fract_x
_atom_site_fract_y
_atom_site_fract_z
Ba1 Ba 0.0000 0.0000 0.0000
Li1 Li 0.0000 0.0000 0.1386
Li2 Li 0.0000 0.0000 0.4139
Tl1 Tl 0.0000 0.0000 0.2447
Hg1 Hg 0.0000 0.0000 0.5000
```

Output
V: 601.38 Å³ per cell
Total magnetic moment: 0.0 μB/f.u.
Energy relative to the elements: -0.253 eV per atom
D(E_F): 18.1 states/eV/cell